Compound: LaScOs2
Source: Alexandria
Functional: PBE
Structure: relaxed

```
data_LaScOs2
_chemical_formula_sum 'La1 Sc1 Os2'
_cell_length_a 3.295
_cell_length_b 4.581
_cell_length_c 5.002
_cell_angle_alpha 90.00
_cell_angle_beta 90.00
_cell_angle_gamma 90.00
_space_group_name_H-M_alt 'P m m m'
_space_group_IT_number 47
loop_
_space_group_symop_operation_xyz
'x,y,z'
'-x,-y,-z'
'-x,-y,z'
'x,y,-z'
'x,-y,-z'
'-x,y,z'
'-x,y,-z'
'x,-y,z'
loop_
_atom_site_label
_atom_site_type_symbol
_atom_site_fract_x
_atom_site_fract_y
_atom_site_fract_z
_atom_site_occupancy
La1 La 0.000 0.000 0.000 1
Sc1 Sc 0.500 0.000 0.500 1
Os1 Os 0.000 0.500 0.500 1
Os2 Os 0.500 0.500 0.000 1
```

Results
M_tot, μB per formula unit: 0.0
DOS at the Fermi energy, states/eV/atom: 0.83
DFT formation energy, eV/atom: 0.326